(1)
A plane-wave DFT calculation with SCAN was carried out for a PBEsol-optimized structure of Rb2HgAu2.

Cell and atoms, written as POSCAR:
```
Rb2HgAu2
1.0
5.091 0.000 0.000
0.000 7.625 0.000
0.000 0.000 7.625
Hg Au Rb
2 4 4
Direct
0.000 0.500 0.500 Hg
0.000 0.000 0.000 Hg
0.000 0.872 0.628 Au
0.000 0.628 0.128 Au
0.000 0.372 0.872 Au
0.000 0.128 0.372 Au
0.500 0.674 0.826 Rb
0.500 0.826 0.326 Rb
0.500 0.174 0.674 Rb
0.500 0.326 0.174 Rb
```

The value obtained for the mass density is 8.59 g/cm3. For the density of states at the Fermi level, the calculation gives 1.6 states/eV/cell. The calculation puts the formation energy at -30 kJ per mole of atoms.



(2)
A plane-wave DFT calculation with SCAN was carried out for a PBEsol-optimized structure of RbHg2Au2.

Cell and atoms, written as POSCAR:
```
RbHg2Au2
1.0
-3.831 1.886 -2.633
-1.671 -4.645 -0.896
-0.158 1.581 6.142
Hg Rb Au
2 1 2
Direct
0.634 0.634 0.269 Hg
0.366 0.366 0.731 Hg
0.000 0.000 0.000 Rb
0.250 0.750 0.500 Au
0.750 0.250 0.500 Au
```

The value obtained for the mass density is 11.05 g/cm3. For the density of states at the Fermi level, the calculation gives 1.6 states/eV/cell. The calculation puts the formation energy at -20 kJ per mole of atoms.



(3)
A plane-wave DFT calculation with SCAN was carried out for a PBEsol-optimized structure of Rb2HgAu2.

Cell and atoms, written as POSCAR:
```
Rb2HgAu2
1.0
6.119 -0.014 -0.021
-2.629 5.526 0.021
-2.629 -2.196 5.070
Hg Au Rb
1 2 2
Direct
0.000 0.000 0.000 Hg
0.000 0.337 0.337 Au
0.000 0.663 0.663 Au
0.500 0.250 0.750 Rb
0.500 0.750 0.250 Rb
```

The value obtained for the mass density is 7.43 g/cm3. For the density of states at the Fermi level, the calculation gives 1.6 states/eV/cell. The calculation puts the formation energy at -31 kJ per mole of atoms.



(4)
A plane-wave DFT calculation with SCAN was carried out for a PBEsol-optimized structure of ReHg2Au.

Cell and atoms, written as POSCAR:
```
ReHg2Au
1.0
2.842 0.000 0.000
0.000 5.137 -0.053
-1.421 -2.332 4.892
Au Hg Re
1 2 1
Direct
0.233 0.820 0.467 Au
0.994 0.921 0.987 Hg
0.764 0.342 0.527 Hg
0.510 0.416 0.019 Re
```

The value obtained for the mass density is 18.33 g/cm3. For the density of states at the Fermi level, the calculation gives 0.9 states/eV/cell. The calculation puts the formation energy at 61 kJ per mole of atoms.



(5)
A plane-wave DFT calculation with SCAN was carried out for a PBEsol-optimized structure of ReHgAu2.

Cell and atoms, written as POSCAR:
```
ReHgAu2
1.0
2.749 0.000 0.007
0.000 4.752 0.000
-0.012 0.000 5.180
Au Re Hg
2 1 1
Direct
0.875 0.000 0.956 Au
0.875 0.500 0.279 Au
0.375 0.500 0.795 Re
0.375 0.000 0.471 Hg
```

The value obtained for the mass density is 19.16 g/cm3. For the density of states at the Fermi level, the calculation gives 2.9 states/eV/cell. The calculation puts the formation energy at 59 kJ per mole of atoms.



(6)
A plane-wave DFT calculation with SCAN was carried out for a PBEsol-optimized structure of ReHg2Au.

Cell and atoms, written as POSCAR:
```
ReHg2Au
1.0
3.998 0.000 0.000
0.000 4.198 0.000
0.000 0.000 4.198
Re Au Hg
1 1 2
Direct
0.500 0.500 0.500 Re
0.500 0.000 0.000 Au
0.000 0.500 0.000 Hg
0.000 0.000 0.500 Hg
```

The value obtained for the mass density is 18.49 g/cm3. For the density of states at the Fermi level, the calculation gives 2.0 states/eV/cell. The calculation puts the formation energy at 76 kJ per mole of atoms.



(7)
A plane-wave DFT calculation with SCAN was carried out for a PBEsol-optimized structure of ReHg2Au.

Cell and atoms, written as POSCAR:
```
ReHg2Au
1.0
-2.756 -0.378 -0.470
-0.785 -0.366 4.895
-0.743 5.095 0.262
Re Hg Au
1 2 1
Direct
0.500 0.500 0.000 Re
0.000 0.000 0.000 Hg
0.500 0.000 0.500 Hg
0.000 0.500 0.500 Au
```

The value obtained for the mass density is 18.02 g/cm3. For the density of states at the Fermi level, the calculation gives 1.5 states/eV/cell. The calculation puts the formation energy at 69 kJ per mole of atoms.



(8)
A plane-wave DFT calculation with SCAN was carried out for a PBEsol-optimized structure of Re2HgAu.

Cell and atoms, written as POSCAR:
```
Re2HgAu
1.0
-2.378 -1.127 -0.878
2.394 -1.354 -0.363
-1.160 -4.408 8.801
Re Hg Au
2 1 1
Direct
0.000 0.000 0.255 Re
0.000 0.000 0.745 Re
0.500 0.500 0.000 Hg
0.500 0.500 0.500 Au
```

The value obtained for the mass density is 19.36 g/cm3. For the density of states at the Fermi level, the calculation gives 3.7 states/eV/cell. The calculation puts the formation energy at 83 kJ per mole of atoms.